[1]
The following is a DFT calculation (PBE) of a relaxed Tl2HAuCl crystal.

Cell: 5.785 5.785 3.620 Å, 90.00 90.00 90.00°
Fractional coordinates of all 5 atoms:
Tl 0.000 0.500 0.000
Tl 0.500 0.000 0.000
H 0.000 0.000 0.500
Au 0.000 0.000 0.000
Cl 0.500 0.500 0.500

Calculated values
- energy (eV/atom) = -2.944
- D(E_F) (states/eV per atom) = 0.166
- crystal system = tetragonal



[2]
The following is a DFT calculation (PBE) of a relaxed Sr2TlPd crystal.

Cell: 10.806 10.806 10.806 Å, 22.31 22.31 22.31°
Fractional coordinates of all 4 atoms:
Sr 0.110 0.110 0.110
Sr 0.890 0.890 0.890
Tl 0.000 0.000 0.000
Pd 0.500 0.500 0.500

Calculated values
- offset from the most stable computed form (meV per atom) = 260.2
- energy (eV/atom) = -2.937
- ΔH_f (0 K) (eV per atom) = -0.2062
- D(E_F) (states/eV per atom) = 0.819
- crystal system = trigonal



Copy entry 1 word for word.
The following is a DFT calculation (PBE) of a relaxed Tl2HAuCl crystal.

Cell: 5.785 5.785 3.620 Å, 90.00 90.00 90.00°
Fractional coordinates of all 5 atoms:
Tl 0.000 0.500 0.000
Tl 0.500 0.000 0.000
H 0.000 0.000 0.500
Au 0.000 0.000 0.000
Cl 0.500 0.500 0.500

Calculated values
- energy (eV/atom) = -2.944
- D(E_F) (states/eV per atom) = 0.166
- crystal system = tetragonal



Question: D(E_F) of number 1 (Tl2HAuCl)?
Answer: 0.166 states/eV per atom



Question: Which of these has the lowest D(E_F)?
Answer: Tl2HAuCl